<P>
Density functional theory data (PBE-GGA) for crystalline Ag3SbMo at its relaxed geometry.

```
Ag3SbMo
1.0
5.0867 0.0000 0.0000
0.0000 5.0867 0.0000
0.0000 0.0000 5.0867
Ag Sb Mo
3 1 1
direct
0.5000 0.0000 0.0000
0.0000 0.0000 0.5000
0.0000 0.5000 0.0000
0.5000 0.5000 0.5000
0.0000 0.0000 0.0000
```

- Total moment: 1.35 μB/f.u.
- SG: No. 221
- N(E_F): 5.1 states/eV/f.u.

---

<Q>
Density functional theory data (PBE-GGA) for crystalline Ag3SbMo at its relaxed geometry.

```
Ag3SbMo
1.0
5.1931 0.0000 0.0000
0.0000 5.1931 0.0000
0.0000 0.0000 5.1931
Sb Ag Mo
1 3 1
direct
0.0000 0.0000 0.0000
0.0000 0.5000 0.0000
0.0000 0.0000 0.5000
0.5000 0.0000 0.0000
0.5000 0.5000 0.5000
```

- Total moment: 5.34 μB/f.u.
- SG: No. 221
- N(E_F): 2.3 states/eV/f.u.

---

Q: Which of them is the most stable? A: <Q>.

---

<P>
Density functional theory data (PBE-GGA) for crystalline Sc3AgMo at its relaxed geometry.

```
Sc3AgMo
1.0
-0.1133 1.7439 -4.7688
2.6319 -4.0591 -1.5469
-4.3424 -2.5057 -0.8131
Sc Ag Mo
3 1 1
direct
0.0000 0.0000 0.5000
0.5000 0.0000 0.0000
0.0000 0.5000 0.0000
0.0000 0.0000 0.0000
0.5000 0.5000 0.5000
```

- Total moment: 2.46 μB/f.u.
- SG: No. 221
- N(E_F): 6.1 states/eV/f.u.

---

<Q>
Density functional theory data (PBE-GGA) for crystalline Sc3AgMo at its relaxed geometry.

```
Sc3AgMo
1.0
5.0155 0.0000 0.0000
0.0000 5.0155 0.0000
0.0000 0.0000 5.0155
Ag Sc Mo
1 3 1
direct
0.5000 0.5000 0.5000
0.0000 0.5000 0.0000
0.5000 0.0000 0.0000
0.0000 0.0000 0.5000
0.0000 0.0000 0.0000
```

- Total moment: 0.00 μB/f.u.
- SG: No. 221
- N(E_F): 5.3 states/eV/f.u.

---

Q: Which of them is the most stable? A: <Q>.

---

<P>
Density functional theory data (PBE-GGA) for crystalline ScAgMo2 at its relaxed geometry.

```
ScAgMo2
1.0
-3.4402 3.9537 -1.3928
-4.8361 -1.3017 -2.0795
3.0660 -1.3707 4.2577
Sc Mo Ag
1 2 1
direct
0.2500 0.7500 0.5000
0.5000 0.5000 0.0000
0.0000 0.0000 0.0000
0.7500 0.2500 0.5000
```

- Total moment: 0.00 μB/f.u.
- SG: No. 139
- N(E_F): 5.0 states/eV/f.u.

---

<Q>
Density functional theory data (PBE-GGA) for crystalline ScAgMo2 at its relaxed geometry.

```
ScAgMo2
1.0
4.9143 -0.0071 -0.0003
4.1456 2.6391 -0.0003
0.3598 0.1045 5.3847
Mo Ag Sc
2 1 1
direct
0.9907 0.9907 0.9733
0.7489 0.7489 0.7738
0.2532 0.2532 0.2621
0.5072 0.5072 0.4908
```

- Total moment: 0.00 μB/f.u.
- SG: No. 8
- N(E_F): 4.0 states/eV/f.u.

---

<R>
Density functional theory data (PBE-GGA) for crystalline ScAgMo2 at its relaxed geometry.

```
ScAgMo2
1.0
2.7327 0.0000 0.0000
0.0000 4.7319 0.0000
0.0000 0.0000 5.4855
Mo Sc Ag
2 1 1
direct
0.0000 0.0000 0.0189
0.0000 0.0000 0.4811
0.5000 0.5000 0.2500
0.5000 0.5000 0.7500
```

- Total moment: 0.00 μB/f.u.
- SG: No. 47
- N(E_F): 2.0 states/eV/f.u.

---

<S>
Density functional theory data (PBE-GGA) for crystalline ScAgMo2 at its relaxed geometry.

```
ScAgMo2
1.0
-0.6720 -0.6345 2.5778
1.8992 -1.9729 0.0094
6.2569 6.0380 3.1173
Sc Ag Mo
1 1 2
direct
0.5000 0.5000 0.2500
0.5000 0.5000 0.7500
0.0000 0.0000 0.5045
0.0000 0.0000 0.9955
```

- Total moment: 0.00 μB/f.u.
- SG: No. 123
- N(E_F): 3.7 states/eV/f.u.

---

Q: Which of them is the most stable? A: <Q>.